The following is a DFT calculation (PBE) of an optimized crystal structure of Li2PaGaN4.

Results
* electronic total energy: -6.6556 eV per atom
* E_form (uncorrected): -0.4491 eV/atom
* symmetry: C2/c
* total magnetization: 0.000 μB per formula unit
* Fermi-level density of states: 8.298 states/eV per cell
* theoretical density: 6.69 g/cm3
* crystal system: monoclinic

Cell: 6.311 6.311 6.255 Å, 119.50 119.50 85.81°
Positions (direct):
Li 0.000 0.000 0.000
Li 0.000 0.000 0.500
Li 0.000 0.500 0.000
Li 0.500 0.000 0.500
Pa 0.000 0.500 0.500
Pa 0.500 0.000 0.000
Ga 0.500 0.500 0.000
Ga 0.500 0.500 0.500
N 0.249 0.750 0.511
N 0.250 0.751 0.989
N 0.279 0.285 0.532
N 0.285 0.279 0.032
N 0.715 0.721 0.968
N 0.721 0.715 0.468
N 0.750 0.249 0.011
N 0.751 0.250 0.489